Below is crystalline ThTcNi at its relaxed geometry, with properties calculated at the PBE level.

extended XYZ file:
```
3
Lattice="-1.319 3.596 0.462 -3.464 -1.514 1.894 3.418 0.958 2.297" Properties=species:S:1:pos:R:3 pbc="T T T"
Ni -0.220 0.599 0.077
Tc 0.904 0.734 2.240
Th -2.049 1.708 2.337
```

Values from the calculation:
total DFT energy (no corrections) = -7.939 eV per atom
E above lowest polymorph = 0 meV/atom
theoretical density = 10.8 Mg/m³

---

Below is crystalline LiTb2PdO5 at its relaxed geometry, with properties calculated at the PBE level.

extended XYZ file:
```
18
Lattice="-0.351 5.761 0.321 -6.500 -0.428 0.575 0.597 -0.327 6.504" Properties=species:S:1:pos:R:3 pbc="T T T"
Li -2.952 -0.377 3.539
Li 0.000 0.000 0.000
Tb -4.450 2.536 1.677
Tb -1.109 2.699 2.383
Tb -5.145 2.307 5.017
Tb -1.804 2.471 5.723
Pd 0.298 -0.163 3.252
Pd -3.250 -0.214 0.287
O -3.127 2.503 3.700
O -0.175 2.880 0.161
O -0.618 1.216 4.325
O -5.467 0.999 2.920
O -2.348 1.285 1.200
O -3.736 0.930 6.045
O -0.788 4.007 4.481
O -3.906 3.721 6.201
O -5.636 3.790 3.075
O -2.518 4.076 1.355
```

Values from the calculation:
total DFT energy (no corrections) = -6.784 eV per atom
energy relative to the elements, uncorrected = -213 kJ/mol of atoms
theoretical density = 6.9 Mg/m³

---

Below is crystalline La3NdY5 at its relaxed geometry, with properties calculated at the PBE level.

extended XYZ file:
```
18
Lattice="7.174 0.000 0.000 0.000 9.979 0.000 0.000 -4.990 8.642" Properties=species:S:1:pos:R:3 pbc="T T T"
La 5.380 3.530 0.000
La 5.380 3.225 5.585
La 5.380 -1.765 3.057
La 1.793 6.449 0.000
La 1.793 1.765 3.057
La 1.793 -3.225 5.585
Nd 0.000 0.000 0.000
Nd 3.587 0.000 0.000
Y 0.000 0.000 5.762
Y 3.587 4.990 2.881
Y 0.000 4.990 2.881
Y 3.587 0.000 5.762
Y 5.380 6.807 0.000
Y 5.380 1.586 2.748
Y 5.380 -3.403 5.895
Y 1.793 3.173 0.000
Y 1.793 3.403 5.895
Y 1.793 -1.586 2.748
```

Values from the calculation:
total DFT energy (no corrections) = -5.696 eV per atom
theoretical density = 5.4 Mg/m³

---

Below is crystalline SnPPd5 at its relaxed geometry, with properties calculated at the PBE level.

extended XYZ file:
```
14
Lattice="6.790 -0.273 0.675 1.895 6.526 0.675 3.893 2.802 6.614" Properties=species:S:1:pos:R:3 pbc="T T T"
Sn 5.620 3.405 2.329
Sn 6.958 5.650 5.636
P 0.000 0.000 0.000
P 1.946 1.401 3.307
Pd 7.352 5.369 2.934
Pd 4.757 5.929 3.548
Pd 9.370 6.670 6.241
Pd 7.178 1.241 2.329
Pd 3.500 5.024 1.110
Pd 9.078 4.031 6.855
Pd 5.400 7.815 5.636
Pd 3.208 2.385 1.723
Pd 7.821 3.126 4.417
Pd 5.226 3.687 5.030
```

Values from the calculation:
total DFT energy (no corrections) = -5.288 eV per atom
E above lowest polymorph = 298 meV/atom
theoretical density = 8.4 Mg/m³

---

Below is crystalline Fe3P at its relaxed geometry, with properties calculated at the PBE level.

extended XYZ file:
```
4
Lattice="3.820 -0.001 0.000 0.002 3.820 0.000 0.000 0.000 2.987" Properties=species:S:1:pos:R:3 pbc="T T T"
Fe 0.001 1.910 1.494
Fe 1.910 -0.001 1.494
Fe 1.911 1.909 0.000
P 0.000 0.000 0.000
```

Values from the calculation:
total DFT energy (no corrections) = -7.846 eV per atom
E above lowest polymorph = 210 meV/atom
theoretical density = 7.6 Mg/m³

---

Below is crystalline HoPPd2 at its relaxed geometry, with properties calculated at the PBE level.

extended XYZ file:
```
8
Lattice="3.884 0.000 0.000 0.000 4.066 0.000 -1.942 0.000 9.239" Properties=species:S:1:pos:R:3 pbc="T T T"
Ho 0.000 1.016 7.216
Ho 1.942 3.049 2.024
P 0.000 1.016 3.152
P 1.942 3.049 6.088
Pd 1.942 1.016 4.556
Pd 0.000 3.049 4.683
Pd 0.000 1.016 0.846
Pd 1.942 3.049 8.394
```

Values from the calculation:
total DFT energy (no corrections) = -6.009 eV per atom
theoretical density = 9.3 Mg/m³